(1)
Material: Ac3Bi4Pt3
Method: DFT, PBE-GGA
State: optimized geometry

abc: 10.488 10.488 10.488
angles: 90.00 90.00 90.00
Space group I-43d (No. 220)
Symmetry-distinct sites (fractional):
Ac1 0.000 0.250 0.875 (multiplicity 12)
Bi1 0.084 0.416 0.584 (multiplicity 16)
Pt1 0.000 0.250 0.375 (multiplicity 12)

Summary:
**Formation energy**: -888 meV per atom
**Crystal system**: cubic
**Calculated volume**: 1153.6 Å³/cell

***

(2)
Material: AcBiPt2
Method: DFT, PBE-GGA
State: optimized geometry

abc: 7.673 4.111 13.392
angles: 90.00 90.00 90.00
Space group Pnma (No. 62)
Symmetry-distinct sites (fractional):
Ac1 0.140 0.250 0.175 (multiplicity 4)
Bi1 0.172 0.250 0.453 (multiplicity 4)
Pt1 0.049 0.250 0.653 (multiplicity 4)
Pt2 0.168 0.250 0.839 (multiplicity 4)

Summary:
**Formation energy**: -764 meV per atom
**Crystal system**: orthorhombic
**Calculated volume**: 422.5 Å³/cell

***

(3)
Material: AcBiPt5
Method: DFT, PBE-GGA
State: optimized geometry

abc: 9.034 5.645 11.248
angles: 90.00 90.00 90.00
Space group Pnma (No. 62)
Symmetry-distinct sites (fractional):
Ac1 0.246 0.250 0.057 (multiplicity 4)
Bi1 0.142 0.250 0.359 (multiplicity 4)
Pt1 0.080 0.502 0.813 (multiplicity 8)
Pt2 0.085 0.250 0.598 (multiplicity 4)
Pt3 0.091 0.750 0.024 (multiplicity 4)
Pt4 0.165 0.750 0.264 (multiplicity 4)

Summary:
**Formation energy**: -578 meV per atom
**Crystal system**: orthorhombic
**Calculated volume**: 573.6 Å³/cell

***

(4)
Material: Ac4Bi8Pt3
Method: DFT, PBE-GGA
State: optimized geometry

abc: 4.834 4.834 20.137
angles: 90.00 90.00 90.00
Space group P-4m2 (No. 115)
Symmetry-distinct sites (fractional):
Ac1 0.000 0.500 0.112 (multiplicity 2)
Ac2 0.000 0.500 0.616 (multiplicity 2)
Bi1 0.000 0.000 0.249 (multiplicity 2)
Bi2 0.000 0.500 0.424 (multiplicity 2)
Bi3 0.000 0.500 0.928 (multiplicity 2)
Bi4 0.500 0.500 0.249 (multiplicity 2)
Pt1 0.000 0.000 0.000 (multiplicity 1)
Pt2 0.000 0.000 0.500 (multiplicity 1)
Pt3 0.500 0.500 0.500 (multiplicity 1)

Summary:
**Formation energy**: -682 meV per atom
**Crystal system**: tetragonal
**Calculated volume**: 470.6 Å³/cell

***

(5)
Material: AcBi12Pt4
Method: DFT, PBE-GGA
State: optimized geometry

abc: 10.067 10.067 10.067
angles: 90.00 90.00 90.00
Space group Im-3 (No. 204)
Symmetry-distinct sites (fractional):
Ac1 0.000 0.000 0.000 (multiplicity 2)
Bi1 0.000 0.337 0.160 (multiplicity 24)
Pt1 0.250 0.250 0.250 (multiplicity 8)

Summary:
**Formation energy**: -272 meV per atom
**Crystal system**: cubic
**Calculated volume**: 1020.1 Å³/cell

***

(6)
Material: AcBiPt2
Method: DFT, PBE-GGA
State: optimized geometry

abc: 5.020 5.020 3.860
angles: 90.00 90.00 90.00
Space group P4/mmm (No. 123)
Symmetry-distinct sites (fractional):
Ac1 0.000 0.000 0.000 (multiplicity 1)
Bi1 0.500 0.500 0.000 (multiplicity 1)
Pt1 0.000 0.500 0.500 (multiplicity 2)

Summary:
**Formation energy**: -628 meV per atom
**Crystal system**: tetragonal
**Calculated volume**: 97.3 Å³/cell

***

(7)
Material: Ac12BiPt6
Method: DFT, PBE-GGA
State: optimized geometry

abc: 11.033 11.033 11.033
angles: 90.00 90.00 90.00
Space group Im-3 (No. 204)
Symmetry-distinct sites (fractional):
Ac1 0.000 0.313 0.178 (multiplicity 24)
Bi1 0.000 0.000 0.000 (multiplicity 2)
Pt1 0.000 0.132 0.500 (multiplicity 12)

Summary:
**Formation energy**: -821 meV per atom
**Crystal system**: cubic
**Calculated volume**: 1343.1 Å³/cell

***

(8)
Material: AcBi3Pt8
Method: DFT, PBE-GGA
State: optimized geometry

abc: 5.5943 5.5943 27.4204
angles: 90.00 90.00 120.00
Space group R3m (No. 160, hexagonal axes)
Symmetry-distinct sites (fractional):
Ac1 0.0000 0.0000 0.0000 (multiplicity 3)
Bi1 0.0000 0.0000 0.3993 (multiplicity 3)
Bi2 0.0000 0.0000 0.5277 (multiplicity 3)
Bi3 0.0000 0.0000 0.8620 (multiplicity 3)
Pt1 0.0000 0.0000 0.1931 (multiplicity 3)
Pt2 0.0000 0.0000 0.6921 (multiplicity 3)
Pt3 0.0083 0.5041 0.9458 (multiplicity 9)
Pt4 0.1692 0.3383 0.7730 (multiplicity 9)

Summary:
**Formation energy**: -391 meV per atom
**Crystal system**: trigonal
**Calculated volume**: 743.2 Å³/cell

***

(9)
Material: AcBi4Pt4
Method: DFT, PBE-GGA
State: optimized geometry

abc: 10.007 10.007 4.779
angles: 90.00 90.00 90.00
Space group I4/m (No. 87)
Symmetry-distinct sites (fractional):
Ac1 0.000 0.000 0.000 (multiplicity 2)
Bi1 0.151 0.343 0.000 (multiplicity 8)
Pt1 0.074 0.196 0.500 (multiplicity 8)

Summary:
**Formation energy**: -520 meV per atom
**Crystal system**: tetragonal
**Calculated volume**: 478.7 Å³/cell

***

(10)
Material: Ac3BiPt
Method: DFT, PBE-GGA
State: optimized geometry

abc: 5.898 5.898 5.898
angles: 90.00 90.00 90.00
Space group Pm-3m (No. 221)
Symmetry-distinct sites (fractional):
Ac1 0.000 0.000 0.500 (multiplicity 3)
Bi1 0.500 0.500 0.500 (multiplicity 1)
Pt1 0.000 0.000 0.000 (multiplicity 1)

Summary:
**Formation energy**: -655 meV per atom
**Crystal system**: cubic
**Excess energy over the best structure of this formula in the dataset**: 216 meV per atom
**Calculated volume**: 205.2 Å³/cell

***

(11)
Material: AcBiPt
Method: DFT, PBE-GGA
State: optimized geometry

abc: 5.145 4.227 8.319
angles: 90.00 90.00 90.00
Space group Pmma (No. 51)
Symmetry-distinct sites (fractional):
Ac1 0.250 0.000 0.206 (multiplicity 2)
Bi1 0.250 0.500 0.603 (multiplicity 2)
Pt1 0.250 0.500 0.944 (multiplicity 2)

Summary:
**Formation energy**: -821 meV per atom
**Crystal system**: orthorhombic
**Excess energy over the best structure of this formula in the dataset**: 141 meV per atom
**Calculated volume**: 180.9 Å³/cell

***

(12)
Material: AcBiPt4
Method: DFT, PBE-GGA
State: optimized geometry

abc: 7.903 7.903 7.903
angles: 90.00 90.00 90.00
Space group F-43m (No. 216)
Symmetry-distinct sites (fractional):
Ac1 0.000 0.000 0.000 (multiplicity 4)
Bi1 0.250 0.250 0.250 (multiplicity 4)
Pt1 0.125 0.125 0.625 (multiplicity 16)

Summary:
**Formation energy**: -645 meV per atom
**Crystal system**: cubic
**Calculated volume**: 493.6 Å³/cell